The following is a PBE+U calculation of an optimized crystal structure of Fe2PdRhO6, from Alexandria via LeMat-Bulk.

## Properties
final energy = -61.4 eV/cell

a b c (Å): 5.1433 5.1541 5.5146
angles (deg): 90.28 117.62 119.91
With the nearest neighbours (Å) after each atom.
Space group P1 (No. 1)
Unique sites:
Fe 0.0000 0.0000 0.0000 x1  6 O 1.97-2.03
Fe 0.0068 0.5031 0.5088 x1  6 O 1.98-2.13
Pd 0.6066 0.3036 0.9095 x1  6 O 2.11-2.16
Rh 0.6090 0.8047 0.4127 x1  6 O 2.05-2.06
O 0.0911 0.8816 0.7114 x1  2 Fe 1.98-2.02, 1 Rh 2.06, 1 Pd 2.12
O 0.1149 0.7275 0.2130 x1  2 Fe 1.98-2.13, 1 Rh 2.05, 1 Pd 2.15
O 0.4867 0.3877 0.2124 x1  2 Fe 1.97-2.13, 1 Rh 2.05, 1 Pd 2.14
O 0.5021 0.6217 0.7116 x1  2 Fe 1.98-2.03, 1 Rh 2.06, 1 Pd 2.13
O 0.8272 0.0990 0.2145 x1  2 Fe 1.97-2.12, 1 Rh 2.05, 1 Pd 2.16
O 0.8302 0.2102 0.7119 x1  2 Fe 1.99-2.03, 1 Rh 2.06, 1 Pd 2.11